# 1
{"formula": "PmAs2Rh", "functional": "GGA-PBE", "state": "optimized geometry", "sg": "No. 123", "cell": [[4.4874, 0.0000, 0.0000], [0.0000, 4.4874, 0.0000], [0.0000, 0.0000, 3.8788]], "species": ["Pm", "As", "As", "Rh"], "fractional_positions": [[0.0000, 0.0000, 0.0000], [0.0000, 0.5000, 0.5000], [0.5000, 0.0000, 0.5000], [0.5000, 0.5000, 0.0000]]}

# 2
{"formula": "PmAsRh3", "functional": "GGA-PBE", "state": "optimized geometry", "sg": "No. 107", "cell": [[4.0814, 0.0000, 0.0000], [0.0000, 4.0814, 0.0000], [0.0000, 0.0000, 10.8580]], "species": ["Pm", "Pm", "As", "As", "Rh", "Rh", "Rh", "Rh", "Rh", "Rh"], "fractional_positions": [[0.0000, 0.0000, 0.0000], [0.5000, 0.5000, 0.5000], [0.0000, 0.0000, 0.6323], [0.5000, 0.5000, 0.1323], [0.0000, 0.0000, 0.4164], [0.0000, 0.5000, 0.2535], [0.0000, 0.5000, 0.7535], [0.5000, 0.0000, 0.2535], [0.5000, 0.0000, 0.7535], [0.5000, 0.5000, 0.9164]]}

# 3
{"formula": "PmAs2Rh", "functional": "GGA-PBE", "state": "optimized geometry", "sg": "No. 166", "cell": [[4.0727, 0.0000, 0.0000], [-2.0363, 3.5270, 0.0000], [0.0000, 0.0000, 16.7830]], "species": ["Pm", "Pm", "Pm", "As", "As", "As", "As", "As", "As", "Rh", "Rh", "Rh"], "fractional_positions": [[0.0000, 0.0000, 0.0000], [0.3333, 0.6667, 0.6667], [0.6667, 0.3333, 0.3333], [0.0000, 0.0000, 0.2290], [0.0000, 0.0000, 0.7710], [0.3333, 0.6667, 0.4376], [0.3333, 0.6667, 0.8957], [0.6667, 0.3333, 0.1043], [0.6667, 0.3333, 0.5624], [0.0000, 0.0000, 0.5000], [0.3333, 0.6667, 0.1667], [0.6667, 0.3333, 0.8333]]}

| no. | ΔE_f (eV/atom) |
| --- | --- |
| 1 | -0.55 |
| 2 | -0.70 |
| 3 | -0.91 |